[1]
Computed, not measured: an optimized crystal structure of RbTbHg3Te4 at the PBE level of DFT.

## Properties
theoretical density = 6.609 g/cm3
E = -2.65 eV/atom
space-group type = No. 11
calculated volume = 37.9 A^3/atom

Lattice parameters (Å, degrees): 6.938 8.461 12.042 90.00 105.37 90.00
Positions (direct):
Rb 0.240 0.250 0.296
Rb 0.760 0.750 0.704
Tb 0.496 0.750 0.205
Tb 0.504 0.250 0.795
Hg 0.001 0.250 0.664
Hg 0.303 0.538 0.944
Hg 0.303 0.962 0.944
Hg 0.697 0.038 0.056
Hg 0.697 0.462 0.056
Hg 0.999 0.750 0.336
Te 0.061 0.750 0.041
Te 0.233 0.528 0.700
Te 0.233 0.972 0.700
Te 0.397 0.750 0.426
Te 0.603 0.250 0.574
Te 0.767 0.028 0.300
Te 0.767 0.472 0.300
Te 0.939 0.250 0.959

***

[2]
Computed, not measured: an optimized crystal structure of RbTbHg3Te4 at the PBE level of DFT.

## Properties
theoretical density = 5.646 g/cm3
E = -2.63 eV/atom
space-group type = No. 215
calculated volume = 44.3 A^3/atom

Lattice parameters (Å, degrees): 7.362 7.362 7.362 90.00 90.00 90.00
Positions (direct):
Rb 0.000 0.000 0.000
Tb 0.500 0.500 0.500
Hg 0.000 0.500 0.500
Hg 0.500 0.000 0.500
Hg 0.500 0.500 0.000
Te 0.273 0.273 0.273
Te 0.273 0.727 0.727
Te 0.727 0.273 0.727
Te 0.727 0.727 0.273

***

[3]
Computed, not measured: an optimized crystal structure of RbTbHgTe3 at the PBE level of DFT.

## Properties
theoretical density = 6.141 g/cm3
E = -3.51 eV/atom
space-group type = No. 11
calculated volume = 37.3 A^3/atom

Lattice parameters (Å, degrees): 9.307 4.514 11.309 90.00 109.57 90.00
Positions (direct):
Rb 0.247 0.250 0.283
Rb 0.753 0.750 0.717
Tb 0.320 0.750 0.864
Tb 0.680 0.250 0.136
Hg 0.082 0.250 0.620
Hg 0.918 0.750 0.380
Te 0.085 0.250 0.868
Te 0.245 0.750 0.560
Te 0.458 0.750 0.148
Te 0.542 0.250 0.852
Te 0.755 0.250 0.440
Te 0.915 0.750 0.132

***

[4]
Computed, not measured: an optimized crystal structure of RbTcHg at the PBE level of DFT.

## Properties
theoretical density = 6.162 g/cm3
E = -2.47 eV/atom
space-group type = No. 216
calculated volume = 34.5 A^3/atom

Lattice parameters (Å, degrees): 5.270 5.270 5.270 60.00 60.00 60.00
Positions (direct):
Rb 0.000 0.000 0.000
Tc 0.500 0.500 0.500
Hg 0.250 0.250 0.250

***

[5]
Computed, not measured: an optimized crystal structure of RbTcHg at the PBE level of DFT.

## Properties
theoretical density = 5.257 g/cm3
E = -2.13 eV/atom
space-group type = No. 216
calculated volume = 40.4 A^3/atom

Lattice parameters (Å, degrees): 5.556 5.556 5.556 60.00 60.00 60.00
Positions (direct):
Rb 0.000 0.000 0.000
Tc 0.250 0.250 0.250
Hg 0.750 0.750 0.750

***

[6]
Computed, not measured: an optimized crystal structure of RbHgTe at the PBE level of DFT.

## Properties
theoretical density = 5.351 g/cm3
E = -1.88 eV/atom
space-group type = No. 216
calculated volume = 42.8 A^3/atom

Lattice parameters (Å, degrees): 5.662 5.662 5.662 60.00 60.00 60.00
Positions (direct):
Rb 0.000 0.000 0.000
Hg 0.500 0.500 0.500
Te 0.750 0.750 0.750

***

[7]
Computed, not measured: an optimized crystal structure of RbHgTe at the PBE level of DFT.

## Properties
theoretical density = 5.045 g/cm3
E = -1.64 eV/atom
space-group type = No. 216
calculated volume = 45.4 A^3/atom

Lattice parameters (Å, degrees): 5.775 5.775 5.775 60.00 60.00 60.00
Positions (direct):
Rb 0.000 0.000 0.000
Hg 0.750 0.750 0.750
Te 0.250 0.250 0.250

***

[8]
Computed, not measured: an optimized crystal structure of RbYHgTe3 at the PBE level of DFT.

## Properties
theoretical density = 5.649 g/cm3
E = -3.82 eV/atom
space-group type = No. 11
calculated volume = 37.1 A^3/atom

Lattice parameters (Å, degrees): 9.262 4.508 11.324 90.00 109.55 90.00
Positions (direct):
Rb 0.248 0.250 0.285
Rb 0.752 0.750 0.715
Y 0.321 0.750 0.864
Y 0.679 0.250 0.136
Hg 0.081 0.250 0.618
Hg 0.919 0.750 0.382
Te 0.086 0.250 0.867
Te 0.248 0.750 0.561
Te 0.455 0.750 0.147
Te 0.545 0.250 0.853
Te 0.752 0.250 0.439
Te 0.914 0.750 0.133

***

[9]
Computed, not measured: an optimized crystal structure of RbYHgTe3 at the PBE level of DFT.

## Properties
theoretical density = 5.730 g/cm3
E = -3.74 eV/atom
space-group type = No. 12
calculated volume = 36.6 A^3/atom

Lattice parameters (Å, degrees): 10.375 10.375 9.901 101.11 101.11 24.86
Positions (direct):
Rb 0.144 0.144 0.066
Rb 0.856 0.856 0.934
Y 0.174 0.174 0.574
Y 0.826 0.826 0.426
Hg 0.474 0.474 0.280
Hg 0.526 0.526 0.720
Te 0.000 0.000 0.500
Te 0.328 0.328 0.213
Te 0.328 0.328 0.638
Te 0.500 0.500 0.000
Te 0.672 0.672 0.362
Te 0.672 0.672 0.787

***

[10]
Computed, not measured: an optimized crystal structure of RbZrHg3Te4 at the PBE level of DFT.

## Properties
theoretical density = 6.340 g/cm3
E = -2.94 eV/atom
space-group type = No. 11
calculated volume = 37.5 A^3/atom

Lattice parameters (Å, degrees): 7.079 8.705 11.351 90.00 105.14 90.00
Positions (direct):
Rb 0.234 0.250 0.392
Rb 0.766 0.750 0.608
Zr 0.153 0.250 0.776
Zr 0.847 0.750 0.224
Hg 0.298 0.017 0.993
Hg 0.298 0.483 0.993
Hg 0.391 0.750 0.240
Hg 0.609 0.250 0.760
Hg 0.702 0.517 0.007
Hg 0.702 0.983 0.007
Te 0.045 0.750 0.024
Te 0.174 0.750 0.419
Te 0.336 0.505 0.701
Te 0.336 0.995 0.701
Te 0.664 0.005 0.299
Te 0.664 0.495 0.299
Te 0.826 0.250 0.581
Te 0.955 0.250 0.976

***

[11]
Computed, not measured: an optimized crystal structure of RbZrHg3Te4 at the PBE level of DFT.

## Properties
theoretical density = 5.325 g/cm3
E = -2.90 eV/atom
space-group type = No. 215
calculated volume = 44.7 A^3/atom

Lattice parameters (Å, degrees): 7.380 7.380 7.380 90.00 90.00 90.00
Positions (direct):
Rb 0.000 0.000 0.000
Zr 0.500 0.500 0.500
Hg 0.000 0.500 0.500
Hg 0.500 0.000 0.500
Hg 0.500 0.500 0.000
Te 0.283 0.283 0.283
Te 0.283 0.717 0.717
Te 0.717 0.283 0.717
Te 0.717 0.717 0.283

***

[12]
Computed, not measured: an optimized crystal structure of RbTlHg at the PBE level of DFT.

## Properties
theoretical density = 6.423 g/cm3
E = -1.22 eV/atom
space-group type = No. 216
calculated volume = 42.3 A^3/atom

Lattice parameters (Å, degrees): 5.639 5.639 5.639 60.00 60.00 60.00
Positions (direct):
Rb 0.000 0.000 0.000
Tl 0.500 0.500 0.500
Hg 0.250 0.250 0.250